An optimized crystal structure of NdMgSn2, computed with GGA-PBE.

Output
Calculated volume (A^3/atom): 26.811
Relative energy among the computed polymorphs (eV per atom): 0.2362
Energy (eV per atom): -3.891
M_tot (μB/f.u.): 0.00

Cell lengths 3.505, 3.505, 10.280 Å; angles 80.18, 80.18, 60.00 degrees
Fractional positions:
Sn (0.256, 0.256, 0.231)
Sn (0.744, 0.744, 0.769)
Nd (0.500, 0.500, 0.500)
Mg (0.000, 0.000, 0.000)

An optimized crystal structure of NdMg2Sn2, computed with GGA-PBE.

Output
Calculated volume (A^3/atom): 28.629
Relative energy among the computed polymorphs (eV per atom): 0.3467
Energy (eV per atom): -3.250
M_tot (μB/f.u.): 0.00

Cell lengths 5.050, 5.050, 12.962 Å; angles 90.00, 90.00, 120.00 degrees
Fractional positions:
Mg (0.333, 0.667, 0.250)
Mg (0.667, 0.333, 0.750)
Mg (0.000, 0.000, 0.000)
Mg (0.000, 0.000, 0.500)
Sn (0.667, 0.333, 0.374)
Sn (0.333, 0.667, 0.874)
Sn (0.667, 0.333, 0.126)
Sn (0.333, 0.667, 0.626)
Nd (0.000, 0.000, 0.250)
Nd (0.000, 0.000, 0.750)

An optimized crystal structure of Nd3Mg2Sn4, computed with GGA-PBE.

Output
Calculated volume (A^3/atom): 28.758
Relative energy among the computed polymorphs (eV per atom): 0.0152
Energy (eV per atom): -4.291
M_tot (μB/f.u.): 0.00

Cell lengths 4.701, 7.147, 8.555 Å; angles 109.74, 105.90, 90.08 degrees
Fractional positions:
Sn (0.785, 0.753, 0.572)
Sn (0.507, 0.305, 0.014)
Sn (0.215, 0.247, 0.428)
Sn (0.493, 0.695, 0.986)
Mg (0.671, 0.995, 0.341)
Mg (0.329, 0.005, 0.659)
Nd (0.000, 0.000, 0.000)
Nd (0.132, 0.605, 0.265)
Nd (0.868, 0.395, 0.735)